Below is crystalline TlCuRu2 at its relaxed geometry, with properties calculated at the GGA-PBE level.

The total DFT energy (no corrections) comes out at -5.643 eV/atom. The calculation puts the energy above the lowest structure with this stoichiometry at 234 meV/atom. As for the energy relative to the elements: 0.6104 eV/atom. As for the total magnetic moment: 1.49 μB per formula unit.

It has space group Pmmm (No. 47), with a = 2.976 Å, b = 4.620 Å, c = 4.628 Å, α = 90.00°, β = 90.00° and γ = 90.00°. The asymmetric unit holds Tl at (0.000, 0.000, 0.000), Cu at (0.500, 0.000, 0.500), Ru at (0.000, 0.500, 0.500) and Ru at (0.500, 0.500, 0.000).